Entry from Alexandria via LeMat-Bulk: crystalline K2GaSnCl5 at its relaxed geometry (PBE).

Cell lengths 4.3298, 9.2394, 15.6358 Å; angles 90.00, 90.00, 103.55 degrees
Element x y z (fractional)
1 K 0.0643 0.1286 0.6626
2 K 0.1459 0.2918 0.2626
3 K 0.8541 0.7082 0.7626
4 K 0.9357 0.8714 0.1626
5 Cl 0.5198 0.0396 0.2726
6 Cl 0.9082 0.8165 0.5606
7 Cl 0.2434 0.4867 0.6612
8 Cl 0.5951 0.1901 0.5187
9 Cl 0.7566 0.5133 0.1612
10 Cl 0.7343 0.4685 0.9118
11 Cl 0.0918 0.1835 0.0606
12 Cl 0.4049 0.8099 0.0187
13 Cl 0.2657 0.5315 0.4118
14 Cl 0.4802 0.9604 0.7726
15 Sn 0.7520 0.5040 0.5299
16 Sn 0.2480 0.4960 0.0299
17 Ga 0.4559 0.9118 0.4441
18 Ga 0.5441 0.0882 0.9441

Values from the calculation:
For the uncorrected formation energy, the calculation gives -1.34 eV per atom. The density is 2.4 g/cm3.